Entry 1:
A plane-wave DFT calculation with PBE-GGA was carried out for an optimized crystal structure of Cd2AgWCl.

Unit cell a=5.279 b=5.279 c=5.112 alpha=90.00 beta=90.00 gamma=90.00
Space group P4/mmm (No. 123)
Unique sites:
Cd: 0.000 0.500 0.000
Ag: 0.000 0.000 0.000
W: 0.000 0.000 0.500
Cl: 0.500 0.500 0.500

Calculated values
Total energy ... -2.786 eV/atom
Crystal system ... tetragonal
Density ... 6.43 g/cm³
E_form (uncorrected) ... 1.11 eV per atom

***

Entry 2:
A plane-wave DFT calculation with PBE-GGA was carried out for an optimized crystal structure of YCdAgCl6.

Unit cell a=6.7668 b=6.7668 c=12.2745 alpha=90.00 beta=90.00 gamma=120.00
Space group P-31c (No. 163)
Unique sites:
Y: 0.3333 0.6667 0.2500
Cd: 0.3333 0.6667 0.7500
Ag: 0.0000 0.0000 0.0000
Cl: 0.0010 0.3478 0.1283

Calculated values
Total energy ... -3.820 eV/atom
Crystal system ... trigonal
Density ... 3.56 g/cm³
E_form (uncorrected) ... -1.45 eV per atom

***

Entry 3:
A plane-wave DFT calculation with PBE-GGA was carried out for an optimized crystal structure of ZnCdAg2Cl6.

Unit cell a=6.743 b=6.747 c=7.056 alpha=90.02 beta=118.51 gamma=119.95
Space group P1 (No. 1)
Unique sites:
Zn: 0.000 0.000 0.000
Cd: 0.000 0.500 0.501
Ag: 0.563 0.782 0.345
Ag: 0.568 0.285 0.853
Cl: 0.099 0.883 0.727
Cl: 0.103 0.741 0.213
Cl: 0.472 0.362 0.213
Cl: 0.509 0.627 0.727
Cl: 0.843 0.217 0.727
Cl: 0.851 0.110 0.213

Calculated values
Total energy ... -2.678 eV/atom
Crystal system ... triclinic
Density ... 4.34 g/cm³
E_form (uncorrected) ... -0.78 eV per atom

***

Entry 4:
A plane-wave DFT calculation with PBE-GGA was carried out for an optimized crystal structure of ZrCdAg2Cl.

Unit cell a=5.166 b=5.166 c=5.080 alpha=90.00 beta=90.00 gamma=90.00
Space group P4/mmm (No. 123)
Unique sites:
Zr: 0.000 0.000 0.000
Cd: 0.500 0.500 0.500
Ag: 0.000 0.500 0.500
Cl: 0.500 0.500 0.000

Calculated values
Total energy ... -2.693 eV/atom
Crystal system ... tetragonal
Density ... 5.57 g/cm³
E_form (uncorrected) ... 0.71 eV per atom